(1)
Below is an optimized crystal structure of KNp2FeS4, with properties calculated at the PBE-GGA level.

Unit cell a=3.884 b=7.144 c=13.450 alpha=90.00 beta=90.00 gamma=105.77
Atoms (fractional coordinates):
S (0.263, 0.525, 0.387)
S (0.000, 0.000, 0.000)
S (0.573, 0.146, 0.250)
S (0.427, 0.854, 0.750)
S (0.000, 0.000, 0.500)
S (0.737, 0.475, 0.613)
S (0.263, 0.525, 0.113)
S (0.737, 0.475, 0.887)
Np (0.366, 0.731, 0.941)
Np (0.366, 0.731, 0.559)
Np (0.634, 0.269, 0.059)
Np (0.634, 0.269, 0.441)
K (0.896, 0.792, 0.250)
K (0.104, 0.208, 0.750)
Fe (0.832, 0.664, 0.750)
Fe (0.168, 0.336, 0.250)

Uncorrected formation energy (eV/f.u.): -9.8
Total magnetization (μB/f.u.): 5.0
Density (g cm⁻³): 6.45
VASP energy (eV/atom): -7.719

(2)
Below is an optimized crystal structure of KNpFeSe3, with properties calculated at the PBE-GGA level.

Unit cell a=4.030 b=9.262 c=9.562 alpha=108.30 beta=90.00 gamma=90.00
Atoms (fractional coordinates):
K (0.250, 0.200, 0.236)
K (0.750, 0.800, 0.764)
Np (0.250, 0.673, 0.158)
Np (0.750, 0.327, 0.842)
Se (0.750, 0.454, 0.157)
Se (0.750, 0.887, 0.148)
Se (0.750, 0.210, 0.529)
Se (0.250, 0.790, 0.471)
Se (0.250, 0.546, 0.843)
Se (0.250, 0.113, 0.852)
Fe (0.250, 0.061, 0.583)
Fe (0.750, 0.939, 0.417)

Uncorrected formation energy (eV/f.u.): -5.5
Total magnetization (μB/f.u.): 6.6
Density (g cm⁻³): 5.57
VASP energy (eV/atom): -6.407

(3)
Below is an optimized crystal structure of K3Np2FeSe6, with properties calculated at the PBE-GGA level.

Unit cell a=7.160 b=7.160 c=8.021 alpha=98.61 beta=98.61 gamma=119.86
Atoms (fractional coordinates):
Se (0.066, 0.386, 0.198)
Se (0.386, 0.066, 0.198)
Se (0.614, 0.934, 0.802)
Se (0.934, 0.614, 0.802)
Se (0.256, 0.256, 0.800)
Se (0.744, 0.744, 0.200)
K (0.168, 0.832, 0.500)
K (0.500, 0.500, 0.500)
K (0.832, 0.168, 0.500)
Np (0.666, 0.334, 0.000)
Np (0.334, 0.666, 0.000)
Fe (0.000, 0.000, 0.000)

Uncorrected formation energy (eV/f.u.): -12.0
Total magnetization (μB/f.u.): 10.8
Density (g cm⁻³): 5.47
VASP energy (eV/atom): -5.881

(4)
Below is an optimized crystal structure of K3Np3FeSe8, with properties calculated at the PBE-GGA level.

Unit cell a=8.238 b=8.237 c=9.142 alpha=116.78 beta=90.01 gamma=120.00
Atoms (fractional coordinates):
K (0.000, 0.500, 0.000)
K (0.500, 0.500, 0.000)
K (0.000, 0.000, 0.000)
Se (0.777, 0.032, 0.309)
Se (0.223, 0.968, 0.691)
Se (0.264, 0.529, 0.293)
Se (0.777, 0.554, 0.309)
Se (0.255, 0.032, 0.309)
Se (0.223, 0.446, 0.691)
Se (0.745, 0.968, 0.691)
Se (0.736, 0.471, 0.707)
Np (0.000, 0.500, 0.500)
Np (0.500, 0.500, 0.500)
Np (0.500, 0.000, 0.500)
Fe (0.000, 0.000, 0.500)

Uncorrected formation energy (eV/f.u.): -15.4
Total magnetization (μB/f.u.): 14.2
Density (g cm⁻³): 5.49
VASP energy (eV/atom): -6.259

Q: Look up the density of the first one.
A: 6.45 g cm⁻³

Q: Among the records above, which one has the lowest total magnetization?
A: KNp2FeS4

Q: Which of these has the lowest density?
A: K3Np2FeSe6

Q: The lowest VASP energy belongs to which entry?
A: KNp2FeS4